VASP calculation (PBE) on crystalline SrMg2Pd at its relaxed geometry.

Summary:
Space group: P4/mmm, No. 123
Energy relative to the elements in eV/atom: -0.31

Unit cell a=3.4624 b=3.4624 c=8.1618 alpha=90.00 beta=90.00 gamma=90.00
Closest atoms and distances in Å follow each position.
Sites, in units of the cell vectors:
Sr  0.5000  0.5000  0.5000  4 Sr 3.46, 8 Mg 3.61
Mg  0.0000  0.0000  0.8252  4 Pd 2.83, 1 Mg 2.85
Mg  0.0000  0.0000  0.1748  4 Pd 2.83, 1 Mg 2.85
Pd  0.5000  0.5000  0.0000  8 Mg 2.83

***

VASP calculation (PBE) on crystalline TiPS4 at its relaxed geometry.

Summary:
E_form (uncorrected) in eV per atom: -0.6233
Space group: C2/m, No. 12

Unit cell a=3.3194 b=6.0420 c=12.9540 alpha=89.45 beta=90.00 gamma=90.00
Closest atoms and distances in Å follow each position.
Sites, in units of the cell vectors:
S  0.5000  0.8096  0.6038  1 P 2.31, 2 Ti 2.42
S  0.0000  0.6623  0.3975  2 P 2.34, 1 Ti 2.45
S  0.0000  0.3377  0.6025  2 P 2.34, 1 Ti 2.45
S  0.5000  0.1623  0.8975  2 P 2.34, 1 Ti 2.45
S  0.0000  0.3096  0.1038  1 P 2.31, 2 Ti 2.42
S  0.0000  0.6904  0.8962  1 P 2.31, 2 Ti 2.42
S  0.5000  0.1904  0.3962  1 P 2.31, 2 Ti 2.42
S  0.5000  0.8377  0.1025  2 P 2.34, 1 Ti 2.45
P  0.0000  0.0000  0.0000  6 S 2.31-2.34
P  0.5000  0.5000  0.5000  6 S 2.31-2.34
Ti  0.5000  0.5000  0.0000  6 S 2.42-2.45
Ti  0.0000  0.0000  0.5000  6 S 2.42-2.45

***

VASP calculation (PBE) on crystalline NaDyAgAu at its relaxed geometry.

Summary:
Space group: F-43m, No. 216
Energy relative to the elements in eV/atom: -0.36

Unit cell a=5.0135 b=5.0135 c=5.0135 alpha=60.00 beta=60.00 gamma=60.00
Closest atoms and distances in Å follow each position.
Sites, in units of the cell vectors:
Dy  0.7500  0.7500  0.7500  4 Ag 3.07, 4 Au 3.07
Au  0.0000  0.0000  0.0000  4 Na 3.07, 4 Dy 3.07
Ag  0.5000  0.5000  0.5000  4 Dy 3.07, 4 Na 3.07
Na  0.2500  0.2500  0.2500  4 Ag 3.07, 4 Au 3.07

***

VASP calculation (PBE) on crystalline Li3BiPt at its relaxed geometry.

Summary:
Space group: Pm-3m, No. 221
Energy relative to the elements in eV/atom: -0.16
Relative energy among the computed polymorphs in meV/atom: 0

Unit cell a=4.6916 b=4.6916 c=4.6916 alpha=90.00 beta=90.00 gamma=90.00
Closest atoms and distances in Å follow each position.
Sites, in units of the cell vectors:
Li  0.5000  0.0000  0.0000  2 Pt 2.35
Li  0.0000  0.0000  0.5000  2 Pt 2.35
Li  0.0000  0.5000  0.0000  2 Pt 2.35
Bi  0.5000  0.5000  0.5000  12 Li 3.32
Pt  0.0000  0.0000  0.0000  6 Li 2.35

***

VASP calculation (PBE) on crystalline TaZnCd at its relaxed geometry.

Summary:
Space group: F-43m, No. 216
Energy relative to the elements in eV/atom: 0.68
Relative energy among the computed polymorphs in meV/atom: 598

Unit cell a=4.3564 b=4.3564 c=4.3564 alpha=60.00 beta=60.00 gamma=60.00
Closest atoms and distances in Å follow each position.
Sites, in units of the cell vectors:
Zn  0.7500  0.7500  0.7500  4 Cd 2.67, 4 Ta 2.67
Cd  0.0000  0.0000  0.0000  4 Zn 2.67
Ta  0.5000  0.5000  0.5000  4 Zn 2.67

***

VASP calculation (PBE) on crystalline Tb3Pr2Y2 at its relaxed geometry.

Summary:
Space group: C2/m, No. 12
Energy relative to the elements in eV/atom: 0.02
Relative energy among the computed polymorphs in meV/atom: 0

Unit cell a=3.6122 b=11.9845 c=6.2284 alpha=69.68 beta=73.14 gamma=98.66
Closest atoms and distances in Å follow each position.
Sites, in units of the cell vectors:
Pr  0.8591  0.1447  0.4271  3 Y 3.59-3.62, 5 Tb 3.61, 4 Pr 3.61-3.65
Pr  0.1409  0.8553  0.5729  3 Y 3.59-3.62, 5 Tb 3.61, 4 Pr 3.61-3.65
Tb  0.5728  0.4300  0.2836  5 Y 3.58-3.60, 5 Tb 3.58-3.61, 2 Pr 3.61
Tb  0.0000  0.0000  0.0000  6 Pr 3.61, 2 Tb 3.61, 4 Y 3.64
Tb  0.4272  0.5700  0.7164  5 Y 3.58-3.60, 5 Tb 3.58-3.61, 2 Pr 3.61
Y  0.2813  0.7113  0.1480  7 Tb 3.58-3.64, 3 Pr 3.59-3.62, 2 Y 3.61
Y  0.7187  0.2887  0.8520  7 Tb 3.58-3.64, 3 Pr 3.59-3.62, 2 Y 3.61

***

VASP calculation (PBE) on crystalline CeNiSn3 at its relaxed geometry.

Summary:
Space group: C2/m, No. 12
Energy relative to the elements in eV/atom: -0.26

Unit cell a=4.9164 b=7.6508 c=7.0867 alpha=110.25 beta=90.00 gamma=108.74
Closest atoms and distances in Å follow each position.
Sites, in units of the cell vectors:
Sn  0.7185  0.4369  0.2638  1 Ni 2.59
Sn  0.0893  0.1786  0.3887  2 Ni 2.77, 3 Sn 2.97-3.07
Sn  0.6192  0.2383  0.6652  1 Ni 2.66
Sn  0.3808  0.7617  0.3348  1 Ni 2.66
Sn  0.9107  0.8214  0.6113  2 Ni 2.77, 3 Sn 2.97-3.07
Sn  0.2815  0.5631  0.7362  1 Ni 2.59
Ce  0.8772  0.7543  0.0363  7 Sn 3.17-3.26, 4 Ni 3.24-3.51
Ce  0.1228  0.2457  0.9637  7 Sn 3.17-3.26, 4 Ni 3.24-3.51
Ni  0.5312  0.0624  0.2036  4 Sn 2.59-2.77, 1 Ni 2.69
Ni  0.4688  0.9376  0.7964  4 Sn 2.59-2.77, 1 Ni 2.69

***

VASP calculation (PBE) on crystalline LaNiRh2 at its relaxed geometry.

Summary:
Space group: P4/mmm, No. 123
Energy relative to the elements in eV/atom: -0.27
Relative energy among the computed polymorphs in meV/atom: 239

Unit cell a=4.1346 b=4.1355 c=4.0203 alpha=90.00 beta=90.00 gamma=90.00
Closest atoms and distances in Å follow each position.
Sites, in units of the cell vectors:
Rh  0.0000  0.0000  0.0000  4 La 2.88, 4 Ni 2.88, 4 Rh 2.92
Rh  0.5000  0.5000  0.0000  4 Ni 2.88, 4 La 2.88, 4 Rh 2.92
Ni  0.0000  0.5000  0.5000  8 Rh 2.88, 4 La 2.92
La  0.5000  0.0000  0.5000  8 Rh 2.88, 4 Ni 2.92